No. 1
LaPm4H10 (PBE-GGA, optimized geometry); volume = 202.9 Å³ per cell; total DFT energy (no corrections) = -4.49 eV/atom; total moment = 0.000 μB per formula unit; SG = No. 166
1.0
3.825 0.000 0.470
1.884 3.329 0.470
-0.017 -0.010 15.934
H La Pm
10 1 4
direct
0.052 0.052 0.845
0.451 0.451 0.647
0.850 0.850 0.450
0.249 0.249 0.253
0.751 0.751 0.747
0.150 0.150 0.550
0.648 0.648 0.056
0.549 0.549 0.353
0.352 0.352 0.944
0.948 0.948 0.155
0.000 0.000 0.000
0.800 0.800 0.599
0.200 0.200 0.401
0.599 0.599 0.204
0.401 0.401 0.796

No. 2
MgBeRe2 (PBE-GGA, optimized geometry); volume = 126.3 Å³ per cell; total DFT energy (no corrections) = -6.87 eV/atom; total moment = 0.000 μB per formula unit; energy of formation from the pure elements = 0.681 eV/atom; SG = No. 122; polymorph energy (0 for the lowest one) = 630.5 meV/atom
1.0
3.709 0.000 0.000
0.000 3.709 0.000
1.854 1.854 9.181
Mg Re Be
2 4 2
direct
0.000 0.000 0.000
0.750 0.250 0.500
0.375 0.838 0.750
0.162 0.125 0.250
0.588 0.625 0.250
0.875 0.412 0.750
0.500 0.500 0.000
0.250 0.750 0.500

No. 3
AcYF5 (PBE-GGA, optimized geometry); volume = 289.2 Å³ per cell; uncorrected formation energy = -3.84 eV per atom; total DFT energy (no corrections) = -6.69 eV/atom; total moment = 0.000 μB per formula unit; SG = No. 15
1.0
-2.912 -5.399 1.195
2.716 -4.459 -3.435
4.935 -4.838 5.018
F Y Ac
10 2 2
direct
0.314 0.679 0.009
0.679 0.314 0.509
0.766 0.759 0.119
0.234 0.241 0.881
0.321 0.686 0.491
0.856 0.144 0.250
0.686 0.321 0.991
0.241 0.234 0.381
0.759 0.766 0.619
0.144 0.856 0.750
0.000 0.000 0.000
0.000 0.000 0.500
0.495 0.505 0.750
0.505 0.495 0.250

No. 4
Cu3Ni (PBE-GGA, optimized geometry); volume = 46.4 Å³ per cell; total DFT energy (no corrections) = -4.50 eV/atom; total moment = 0.000 μB per formula unit; energy of formation from the pure elements = 0.016 eV/atom; SG = No. 1
1.0
-2.461 1.338 -3.975
-1.489 -3.553 -3.035
-0.149 2.168 4.383
Ni Cu
1 3
direct
0.667 0.002 0.669
0.748 0.748 0.000
0.252 0.249 0.997
0.166 0.501 0.667

No. 5
LiPr2Ag4 (PBE-GGA, optimized geometry); volume = 189.1 Å³ per cell; total DFT energy (no corrections) = -3.31 eV/atom; total moment = 0.000 μB per formula unit; energy of formation from the pure elements = -0.042 eV/atom; SG = No. 65
1.0
4.557 0.000 0.000
0.000 5.077 -1.920
0.000 0.166 8.111
Ag Pr Li
4 2 1
direct
0.000 0.698 0.396
0.500 0.588 0.176
0.500 0.412 0.824
0.000 0.302 0.604
0.500 0.167 0.334
0.500 0.833 0.666
0.000 0.500 0.000

No. 6
PuInHg4 (PBE-GGA, optimized geometry); volume = 306.3 Å³ per cell; total DFT energy (no corrections) = -3.12 eV/atom; total moment = 5.893 μB per formula unit; energy of formation from the pure elements = -0.077 eV/atom; SG = No. 63; polymorph energy (0 for the lowest one) = 16.2 meV/atom
1.0
4.436 0.000 -0.039
0.000 9.562 0.000
-2.153 0.000 7.239
Hg Pu In
8 2 2
direct
0.000 0.000 0.000
0.510 0.750 0.020
0.490 0.250 0.980
0.334 0.503 0.669
0.666 0.003 0.331
0.000 0.500 0.000
0.334 0.997 0.669
0.666 0.497 0.331
0.827 0.250 0.654
0.173 0.750 0.346
0.151 0.250 0.302
0.849 0.750 0.698

No. 7
ZnSi2Mo (PBE-GGA, optimized geometry); volume = 56.5 Å³ per cell; uncorrected formation energy = 0.13 eV per atom; total DFT energy (no corrections) = -5.60 eV/atom; total moment = 0.000 μB per formula unit; SG = No. 123
1.0
3.242 0.000 0.000
0.000 4.176 0.000
0.000 0.000 4.176
Si Mo Zn
2 1 1
direct
0.000 0.000 0.000
0.000 0.500 0.500
0.500 0.000 0.500
0.500 0.500 0.000

No. 8
TlSi4W (PBE-GGA, optimized geometry); volume = 95.6 Å³ per cell; uncorrected formation energy = 0.77 eV per atom; total DFT energy (no corrections) = -5.40 eV/atom; total moment = 0.000 μB per formula unit; SG = No. 216
1.0
-4.087 -2.022 2.357
-4.238 2.820 0.661
-4.241 -1.072 -2.685
Si W Tl
4 1 1
direct
0.373 0.373 0.373
0.373 0.373 0.880
0.880 0.373 0.373
0.373 0.880 0.373
0.000 0.000 0.000
0.750 0.750 0.750

No. 9
Na2Ga7Ag (PBE-GGA, optimized geometry); volume = 208.5 Å³ per cell; total DFT energy (no corrections) = -2.78 eV/atom; total moment = 0.000 μB per formula unit; energy of formation from the pure elements = -0.111 eV/atom; SG = No. 115
1.0
4.306 0.000 0.000
0.000 4.306 0.000
0.000 0.000 11.246
Ag Na Ga
1 2 7
direct
0.500 0.500 0.000
0.000 0.500 0.245
0.500 0.000 0.755
0.000 0.500 0.639
0.000 0.000 0.000
0.500 0.000 0.361
0.000 0.000 0.500
0.000 0.500 0.862
0.500 0.000 0.138
0.500 0.500 0.500

No. 10
AsAuBr2 (PBE-GGA, optimized geometry); volume = 126.2 Å³ per cell; uncorrected formation energy = -0.05 eV per atom; total DFT energy (no corrections) = -2.87 eV/atom; total moment = 0.000 μB per formula unit; SG = No. 6; polymorph energy (0 for the lowest one) = 166.6 meV/atom
1.0
-1.279 -1.333 -3.015
-2.224 -3.717 2.587
-5.863 3.882 0.772
Au As Br
1 1 2
direct
0.500 0.655 0.740
0.000 0.373 0.583
0.000 0.990 0.894
0.500 0.482 0.283

No. 11
Pr5NdCd4 (PBE-GGA, optimized geometry); volume = 306.5 Å³ per cell; total DFT energy (no corrections) = -3.48 eV/atom; total moment = 1.079 μB per formula unit; energy of formation from the pure elements = -0.248 eV/atom; SG = No. 123
1.0
3.835 0.000 0.000
0.000 3.835 0.000
0.000 0.000 20.837
Pr Cd Nd
5 4 1
direct
0.500 0.500 0.311
0.500 0.500 0.500
0.500 0.500 0.121
0.500 0.500 0.879
0.500 0.500 0.689
0.000 0.000 0.405
0.000 0.000 0.595
0.000 0.000 0.214
0.000 0.000 0.786
0.000 0.000 0.000

No. 12
Rb2ScAs2O6 (PBE-GGA, optimized geometry); volume = 188.6 Å³ per cell; uncorrected formation energy = -1.86 eV per atom; total DFT energy (no corrections) = -6.16 eV/atom; total moment = 0.908 μB per formula unit; SG = No. 12
1.0
-2.673 -5.154 0.884
3.955 0.578 -4.177
3.045 -0.477 6.423
O As Rb Sc
6 2 2 1
direct
0.734 0.468 0.605
0.266 0.532 0.395
0.748 0.979 0.280
0.231 0.979 0.280
0.769 0.021 0.720
0.252 0.021 0.720
0.925 0.851 0.772
0.075 0.149 0.228
0.713 0.427 0.174
0.287 0.573 0.826
0.500 0.000 0.500

No. 13
SiAs2Pd2 (PBE-GGA, optimized geometry); volume = 172.7 Å³ per cell; uncorrected formation energy = 0.09 eV per atom; total DFT energy (no corrections) = -4.93 eV/atom; total moment = 0.000 μB per formula unit; SG = No. 127; polymorph energy (0 for the lowest one) = 0.0 meV/atom
1.0
7.665 0.000 0.000
0.000 7.665 0.000
0.000 0.000 2.940
As Pd Si
4 4 2
direct
0.165 0.335 0.000
0.665 0.165 0.000
0.335 0.835 0.000
0.835 0.665 0.000
0.630 0.870 0.500
0.370 0.130 0.500
0.870 0.370 0.500
0.130 0.630 0.500
0.000 0.000 0.000
0.500 0.500 0.000

No. 14
Zr3CoGe (PBE-GGA, optimized geometry); volume = 109.6 Å³ per cell; total DFT energy (no corrections) = -7.45 eV/atom; total moment = 0.000 μB per formula unit; energy of formation from the pure elements = 0.020 eV/atom; SG = No. 221; polymorph energy (0 for the lowest one) = 0.0 meV/atom
1.0
4.786 0.000 0.000
0.000 4.786 0.000
0.000 0.000 4.786
Co Zr Ge
1 3 1
direct
0.000 0.000 0.000
0.000 0.000 0.500
0.500 0.000 0.000
0.000 0.500 0.000
0.500 0.500 0.500

No. 15
Ti3PtF (PBE-GGA, optimized geometry); volume = 116.7 Å³ per cell; uncorrected formation energy = 0.14 eV per atom; total DFT energy (no corrections) = -6.18 eV/atom; total moment = 3.258 μB per formula unit; SG = No. 221; polymorph energy (0 for the lowest one) = 1036.8 meV/atom
1.0
4.887 0.000 0.000
0.000 4.887 0.000
0.000 0.000 4.887
Ti F Pt
3 1 1
direct
0.500 0.000 0.000
0.000 0.500 0.000
0.000 0.000 0.500
0.500 0.500 0.500
0.000 0.000 0.000

No. 16
Sm8Ge3RhI4 (PBE-GGA, optimized geometry); volume = 488.8 Å³ per cell; uncorrected formation energy = -0.95 eV per atom; total DFT energy (no corrections) = -5.03 eV/atom; total moment = 0.000 μB per formula unit; SG = No. 166
1.0
8.610 0.000 0.000
0.000 9.087 0.338
-4.305 -4.304 6.087
Ge Sm I Rh
3 8 4 1
direct
0.500 0.500 0.000
0.500 0.500 0.500
0.000 0.500 0.500
0.225 0.692 0.967
0.775 0.308 0.550
0.225 0.692 0.450
0.258 0.308 0.033
0.733 0.700 0.467
0.742 0.692 0.967
0.775 0.308 0.033
0.267 0.300 0.533
0.500 0.000 0.000
0.000 0.000 0.000
0.000 0.000 0.500
0.500 0.000 0.500
0.000 0.500 0.000

No. 17
Pr8Sm5Y (PBE-GGA, optimized geometry); volume = 504.2 Å³ per cell; total DFT energy (no corrections) = -4.64 eV/atom; total moment = 0.000 μB per formula unit; energy of formation from the pure elements = 0.237 eV/atom; SG = No. 82
1.0
8.688 -0.083 0.143
-3.018 8.147 -0.143
-2.652 -4.161 7.153
Sm Pr Y
5 8 1
direct
0.868 0.900 0.181
0.032 0.313 0.132
0.819 0.687 0.719
0.281 0.100 0.968
0.500 0.000 0.500
0.339 0.266 0.436
0.665 0.396 0.923
0.927 0.096 0.661
0.169 0.734 0.073
0.526 0.604 0.269
0.077 0.742 0.474
0.564 0.904 0.831
0.731 0.258 0.335
0.250 0.500 0.750

No. 18
KNb3Co (PBE-GGA, optimized geometry); volume = 94.8 Å³ per cell; total DFT energy (no corrections) = -4.79 eV/atom; total moment = 0.000 μB per formula unit; energy of formation from the pure elements = 2.892 eV/atom; SG = No. 221; polymorph energy (0 for the lowest one) = 1742.7 meV/atom
1.0
4.560 0.000 0.000
0.000 4.560 0.000
0.000 0.000 4.560
Nb Co K
3 1 1
direct
0.000 0.000 0.500
0.500 0.000 0.000
0.000 0.500 0.000
0.500 0.500 0.500
0.000 0.000 0.000

No. 19
NdDy5Y8 (PBE-GGA, optimized geometry); volume = 465.3 Å³ per cell; total DFT energy (no corrections) = -5.44 eV/atom; total moment = 0.001 μB per formula unit; energy of formation from the pure elements = 0.243 eV/atom; SG = No. 82
1.0
8.085 0.000 -2.506
-4.163 6.742 -2.977
0.242 0.000 8.461
Nd Y Dy
1 8 5
direct
0.250 0.500 0.750
0.168 0.741 0.079
0.921 0.089 0.662
0.672 0.394 0.922
0.722 0.250 0.328
0.338 0.259 0.427
0.573 0.911 0.832
0.528 0.606 0.278
0.078 0.750 0.472
0.816 0.678 0.716
0.863 0.900 0.184
0.284 0.100 0.962
0.038 0.322 0.137
0.500 0.000 0.500

No. 20
Cs2UBr2F4 (PBE-GGA, optimized geometry); volume = 283.2 Å³ per cell; uncorrected formation energy = -2.74 eV per atom; total DFT energy (no corrections) = -5.38 eV/atom; total moment = 2.000 μB per formula unit; SG = No. 139
1.0
7.301 -0.306 -0.483
-3.213 6.563 0.483
-3.213 -2.365 6.142
Cs F Br U
2 4 2 1
direct
0.500 0.750 0.250
0.500 0.250 0.750
0.404 0.202 0.202
0.000 0.202 0.798
0.596 0.798 0.798
0.000 0.798 0.202
0.000 0.283 0.283
0.000 0.717 0.717
0.000 0.000 0.000